(1)
# Ce2NdEr3As6

Ce2NdEr3As6 after structural relaxation (PBE-GGA, the Alexandria database).

Lattice parameters (Å, degrees): 4.164 8.313 9.287 102.74 102.95 90.00
Each line ends with the local moment (μB).
Atoms (fractional coordinates):
1 Nd 0.500 0.000 0.000  0.01
2 As 0.670 0.081 0.339  -0.01
3 Er 0.500 0.500 0.000  0.00
4 As 0.665 0.587 0.331  -0.02
5 As 0.330 0.919 0.661  -0.01
6 As 0.335 0.413 0.669  -0.02
7 Ce 0.834 0.667 0.667  0.59
8 Er 0.834 0.166 0.668  0.00
9 As 0.001 0.742 0.002  -0.01
10 Ce 0.166 0.333 0.333  0.59
11 Er 0.166 0.834 0.332  0.00
12 As 0.999 0.258 0.998  -0.01

Calculated values
ΔH_f (0 K): -1.49 eV per atom
Electronic total energy: -76.046 eV per cell
SG: No. 12


(2)
# CeNdEr2As4

CeNdEr2As4 after structural relaxation (PBE-GGA, the Alexandria database).

Lattice parameters (Å, degrees): 4.167 7.197 7.218 70.55 90.00 90.00
Each line ends with the local moment (μB).
Atoms (fractional coordinates):
1 As 0.500 0.758 0.250  -0.01
2 As 0.500 0.242 0.750  -0.01
3 Ce 0.000 0.500 0.500  0.55
4 Er 0.000 0.000 0.000  0.00
5 As 0.000 0.241 0.256  -0.01
6 Nd 0.500 0.500 0.000  0.01
7 Er 0.500 0.000 0.500  0.00
8 As 0.000 0.759 0.744  -0.01

Calculated values
ΔH_f (0 K): -1.49 eV per atom
Electronic total energy: -50.356 eV per cell
SG: No. 10


(3)
# Ce2ErNpAs4

Ce2ErNpAs4 after structural relaxation (PBE-GGA, the Alexandria database).

Lattice parameters (Å, degrees): 4.158 7.208 7.178 109.48 90.00 90.00
Each line ends with the local moment (μB).
Atoms (fractional coordinates):
1 As 0.500 0.753 0.757  -0.04
2 Er 0.000 0.000 0.000  0.01
3 As 0.000 0.252 0.758  -0.06
4 Ce 0.500 0.000 0.500  0.62
5 As 0.000 0.748 0.242  -0.06
6 Ce 0.000 0.500 0.500  0.65
7 As 0.500 0.247 0.243  -0.04
8 Np 0.500 0.500 0.000  3.73

Calculated values
ΔH_f (0 K): -1.26 eV per atom
Electronic total energy: -58.042 eV per cell
SG: No. 10


(4)
# CeEr2NpAs4

CeEr2NpAs4 after structural relaxation (PBE-GGA, the Alexandria database).

Lattice parameters (Å, degrees): 4.116 7.133 7.152 109.45 90.00 90.00
Each line ends with the local moment (μB).
Atoms (fractional coordinates):
1 As 0.500 0.752 0.747  -0.06
2 Er 0.000 0.500 0.500  -0.01
3 As 0.000 0.754 0.255  -0.04
4 As 0.500 0.248 0.253  -0.06
5 Ce 0.500 0.500 0.000  0.61
6 As 0.000 0.246 0.745  -0.04
7 Er 0.500 0.000 0.500  0.01
8 Np 0.000 0.000 0.000  3.73

Calculated values
ΔH_f (0 K): -1.28 eV per atom
Electronic total energy: -56.845 eV per cell
SG: No. 10


(5)
# CeErNp2As4

CeErNp2As4 after structural relaxation (PBE-GGA, the Alexandria database).

Lattice parameters (Å, degrees): 4.128 7.155 7.158 109.45 90.00 90.00
Each line ends with the local moment (μB).
Atoms (fractional coordinates):
1 As 0.500 0.753 0.748  -0.07
2 As 0.500 0.247 0.252  -0.07
3 Np 0.500 0.000 0.500  3.70
4 As 0.000 0.756 0.254  -0.07
5 As 0.000 0.244 0.746  -0.07
6 Np 0.000 0.500 0.500  3.77
7 Er 0.000 0.000 0.000  -0.01
8 Ce 0.500 0.500 0.000  0.63

Calculated values
ΔH_f (0 K): -1.07 eV per atom
Electronic total energy: -63.532 eV per cell
SG: No. 10


(6)
# CeErAsO2

CeErAsO2 after structural relaxation (PBE-GGA, the Alexandria database).

Lattice parameters (Å, degrees): 3.828 3.828 6.672 106.67 106.67 90.00
Each line ends with the local moment (μB).
Atoms (fractional coordinates):
1 Ce 0.851 0.851 0.702  0.23
2 Er 0.154 0.154 0.309  0.00
3 As 0.498 0.498 0.996  -0.03
4 O 0.248 0.748 0.497  -0.01
5 O 0.748 0.248 0.497  -0.01

Calculated values
Electronic total energy: -38.722 eV per cell
SG: No. 107
E_form (uncorrected): -2.73 eV per atom


(7)
# CeErAs2O8

CeErAs2O8 after structural relaxation (PBE-GGA, the Alexandria database).

Lattice parameters (Å, degrees): 5.115 5.115 6.792 112.12 112.12 90.00
Each line ends with the local moment (μB).
Atoms (fractional coordinates):
1 O 0.032 0.418 0.339  0.00
2 O 0.423 0.325 0.152  0.00
3 Er 0.000 0.000 0.000  0.01
4 O 0.675 0.271 0.848  0.00
5 O 0.582 0.693 0.661  0.00
6 O 0.173 0.577 0.848  0.00
7 O 0.307 0.920 0.339  0.00
8 O 0.080 0.968 0.661  0.00
9 As 0.500 0.500 0.000  0.01
10 As 0.250 0.750 0.500  0.01
11 Ce 0.750 0.250 0.500  0.90
12 O 0.729 0.827 0.152  0.00

Calculated values
Electronic total energy: -87.009 eV per cell
SG: No. 82
E_form (uncorrected): -2.30 eV per atom


(8)
# CeEr2PaAs4

CeEr2PaAs4 after structural relaxation (PBE-GGA, the Alexandria database).

Lattice parameters (Å, degrees): 4.121 7.105 7.144 70.48 90.00 90.00
Each line ends with the local moment (μB).
Atoms (fractional coordinates):
1 Ce 0.500 0.500 0.000  0.63
2 As 0.000 0.754 0.744  -0.01
3 Pa 0.000 0.500 0.500  0.40
4 As 0.500 0.247 0.747  -0.01
5 Er 0.500 0.000 0.500  0.01
6 As 0.500 0.753 0.253  -0.01
7 As 0.000 0.246 0.256  -0.01
8 Er 0.000 0.000 0.000  0.01

Calculated values
ΔH_f (0 K): -1.37 eV per atom
Electronic total energy: -54.125 eV per cell
SG: No. 10


(9)
# Ce3Er2PaAs6

Ce3Er2PaAs6 after structural relaxation (PBE-GGA, the Alexandria database).

Lattice parameters (Å, degrees): 7.179 7.179 7.218 99.54 99.54 120.00
Each line ends with the local moment (μB).
Atoms (fractional coordinates):
1 As 0.920 0.589 0.760  -0.02
2 As 0.749 0.749 0.240  -0.02
3 As 0.589 0.920 0.760  -0.02
4 As 0.080 0.411 0.240  -0.02
5 Er 0.666 0.334 0.000  0.01
6 Ce 0.833 0.167 0.500  0.69
7 As 0.251 0.251 0.760  -0.02
8 Ce 0.167 0.833 0.500  0.69
9 Ce 0.500 0.500 0.500  0.69
10 Er 0.334 0.666 0.000  0.01
11 Pa 0.000 0.000 0.000  0.29
12 As 0.411 0.080 0.240  -0.02

Calculated values
ΔH_f (0 K): -1.39 eV per atom
Electronic total energy: -81.057 eV per cell
SG: No. 12


(10)
# Ce3PmEr2As6

Ce3PmEr2As6 after structural relaxation (PBE-GGA, the Alexandria database).

Lattice parameters (Å, degrees): 7.237 7.237 7.225 99.62 99.62 120.00
Each line ends with the local moment (μB).
Atoms (fractional coordinates):
1 Er 0.333 0.667 0.000  0.00
2 As 0.917 0.579 0.753  -0.02
3 Pm 0.000 0.000 0.000  0.01
4 As 0.083 0.421 0.247  -0.02
5 Ce 0.165 0.835 0.500  0.59
6 Ce 0.835 0.165 0.500  0.59
7 Er 0.667 0.333 0.000  0.00
8 Ce 0.500 0.500 0.500  0.58
9 As 0.579 0.917 0.753  -0.02
10 As 0.421 0.083 0.247  -0.02
11 As 0.257 0.257 0.754  -0.02
12 As 0.743 0.743 0.246  -0.02

Calculated values
ΔH_f (0 K): -1.47 eV per atom
Electronic total energy: -77.226 eV per cell
SG: No. 12


(11)
# CePm2ErAs4

CePm2ErAs4 after structural relaxation (PBE-GGA, the Alexandria database).

Lattice parameters (Å, degrees): 4.193 7.249 7.266 109.40 90.00 90.00
Each line ends with the local moment (μB).
Atoms (fractional coordinates):
1 Ce 0.500 0.500 0.000  0.48
2 As 0.500 0.755 0.759  -0.01
3 Pm 0.500 0.000 0.500  0.01
4 Pm 0.000 0.500 0.500  0.01
5 As 0.500 0.245 0.241  -0.01
6 As 0.000 0.250 0.756  -0.01
7 Er 0.000 0.000 0.000  0.00
8 As 0.000 0.750 0.244  -0.01

Calculated values
ΔH_f (0 K): -1.50 eV per atom
Electronic total energy: -50.592 eV per cell
SG: No. 10


(12)
# Ce2Pm3ErAs6

Ce2Pm3ErAs6 after structural relaxation (PBE-GGA, the Alexandria database).

Lattice parameters (Å, degrees): 4.206 8.412 9.397 102.99 102.93 90.00
Each line ends with the local moment (μB).
Atoms (fractional coordinates):
1 As 0.001 0.244 0.001  -0.01
2 Ce 0.165 0.331 0.331  0.54
3 Pm 0.167 0.835 0.333  0.01
4 As 0.668 0.581 0.335  -0.01
5 Pm 0.500 0.500 0.000  0.01
6 As 0.332 0.419 0.665  -0.01
7 Er 0.500 0.000 0.000  0.00
8 As 0.336 0.915 0.672  -0.01
9 Pm 0.833 0.165 0.667  0.01
10 As 0.999 0.756 0.999  -0.01
11 Ce 0.835 0.669 0.669  0.54
12 As 0.664 0.085 0.328  -0.01

Calculated values
ΔH_f (0 K): -1.49 eV per atom
Electronic total energy: -76.506 eV per cell
SG: No. 12